No. 1
# Be2CdAu6, optimized geometry, DFT PBE-GGA
data_Be2CdAu6
_cell_length_a 3.992
_cell_length_b 3.992
_cell_length_c 20.421
_cell_angle_alpha 90.00
_cell_angle_beta 90.00
_cell_angle_gamma 90.00
_symmetry_space_group_name_H-M 'I 4/m m m'
_symmetry_Int_Tables_number 139
_symmetry_space_group_name_Hall '-I 4 2'
loop_
_atom_site_label
_atom_site_type_symbol
_atom_site_fract_x
_atom_site_fract_y
_atom_site_fract_z
Be1 Be 0.000 0.000 0.176
Cd1 Cd 0.000 0.000 0.500
Au1 Au 0.000 0.500 0.106
Au2 Au 0.000 0.500 0.250
# Energy above the most stable polymorph in this dataset, eV/f.u.: 0.000
# Total magnetization, μB/cell: 0.00

=====

No. 2
# BeCdAu, optimized geometry, DFT PBE-GGA
data_BeCdAu
_cell_length_a 2.9980
_cell_length_b 2.9980
_cell_length_c 6.3655
_cell_angle_alpha 90.00
_cell_angle_beta 90.00
_cell_angle_gamma 120.00
_symmetry_space_group_name_H-M 'P 3 m 1'
_symmetry_Int_Tables_number 156
loop_
_symmetry_equiv_pos_as_xyz
'x,y,z'
'-y,x-y,z'
'-x+y,-x,z'
'-y,-x,z'
'-x+y,y,z'
'x,x-y,z'
loop_
_atom_site_label
_atom_site_type_symbol
_atom_site_fract_x
_atom_site_fract_y
_atom_site_fract_z
Be1 Be 0.0000 0.0000 0.0000
Cd1 Cd 0.6667 0.3333 0.3368
Au1 Au 0.3333 0.6667 0.7402
# Energy above the most stable polymorph in this dataset, eV/f.u.: 0.663
# Total magnetization, μB/cell: 0.00

=====

No. 3
# BeCd2Au, optimized geometry, DFT PBE-GGA
data_BeCd2Au
_cell_length_a 3.0450
_cell_length_b 3.0450
_cell_length_c 26.3259
_cell_angle_alpha 90.00
_cell_angle_beta 90.00
_cell_angle_gamma 120.00
_symmetry_space_group_name_H-M 'R -3 m'
_symmetry_Int_Tables_number 166
_symmetry_space_group_name_Hall '-R 3 2"'
loop_
_atom_site_label
_atom_site_type_symbol
_atom_site_fract_x
_atom_site_fract_y
_atom_site_fract_z
Be1 Be 0.0000 0.0000 0.0000
Cd1 Cd 0.0000 0.0000 0.2590
Au1 Au 0.0000 0.0000 0.5000
# Total magnetization, μB/cell: 0.00

=====

No. 4
# Be3CdAu10, optimized geometry, DFT PBE-GGA
data_Be3CdAu10
_cell_length_a 12.356
_cell_length_b 12.356
_cell_length_c 12.356
_cell_angle_alpha 90.00
_cell_angle_beta 90.00
_cell_angle_gamma 90.00
_symmetry_space_group_name_H-M 'F m -3 m'
_symmetry_Int_Tables_number 225
_symmetry_space_group_name_Hall '-F 4 2 3'
loop_
_atom_site_label
_atom_site_type_symbol
_atom_site_fract_x
_atom_site_fract_y
_atom_site_fract_z
Be1 Be 0.000 0.000 0.228
Cd1 Cd 0.250 0.250 0.250
Au1 Au 0.000 0.168 0.332
Au2 Au 0.117 0.117 0.117
# Total magnetization, μB/cell: 0.00

=====

No. 5
# Be6CdAu12, optimized geometry, DFT PBE-GGA
data_Be6CdAu12
_cell_length_a 8.384
_cell_length_b 8.384
_cell_length_c 8.384
_cell_angle_alpha 90.00
_cell_angle_beta 90.00
_cell_angle_gamma 90.00
_symmetry_space_group_name_H-M 'I m -3'
_symmetry_Int_Tables_number 204
_symmetry_space_group_name_Hall '-I 2 2 3'
loop_
_atom_site_label
_atom_site_type_symbol
_atom_site_fract_x
_atom_site_fract_y
_atom_site_fract_z
Be1 Be 0.000 0.130 0.500
Cd1 Cd 0.000 0.000 0.000
Au1 Au 0.000 0.303 0.176
# Total magnetization, μB/cell: 0.00

=====

No. 6
# BeCd4Au4, optimized geometry, DFT PBE-GGA
data_BeCd4Au4
_cell_length_a 2.870
_cell_length_b 10.538
_cell_length_c 12.790
_cell_angle_alpha 90.00
_cell_angle_beta 90.00
_cell_angle_gamma 90.00
_symmetry_space_group_name_H-M 'I 2 2 2'
_symmetry_Int_Tables_number 23
loop_
_symmetry_equiv_pos_as_xyz
'x,y,z'
'-x,-y,z'
'x,-y,-z'
'-x,y,-z'
'x+1/2,y+1/2,z+1/2'
'-x+1/2,-y+1/2,z+1/2'
'x+1/2,-y+1/2,-z+1/2'
'-x+1/2,y+1/2,-z+1/2'
loop_
_atom_site_label
_atom_site_type_symbol
_atom_site_fract_x
_atom_site_fract_y
_atom_site_fract_z
Be1 Be 0.000 0.000 0.000
Cd1 Cd 0.097 0.367 0.848
Au1 Au 0.039 0.366 0.615
# Total magnetization, μB/cell: 0.00

=====

Values for energy of formation from the pure elements, eV per atom, ordered as above
-0.097 0.149 0.238 -0.101 -0.054 -0.024
Values for final energy, eV/atom, ordered as above
-3.212 -2.491 -1.970 -3.306 -3.349 -2.301